i:
! MoPSCl2 PBE-GGA relaxed; values from VASP
&SYSTEM
  ibrav = 0, nat = 5, ntyp = 4
/
ATOMIC_SPECIES
Cl 35.45 Cl.upf
Mo 95.94 Mo.upf
S 32.06 S.upf
P 30.97 P.upf
CELL_PARAMETERS angstrom
-3.968 -0.224 -2.432
2.300 -1.901 -3.578
-0.872 -4.514 1.838
ATOMIC_POSITIONS crystal
Cl 0.500 0.000 0.000
Mo 0.500 0.500 0.500
Cl 0.000 0.500 0.000
S 0.000 0.000 0.500
P 0.000 0.000 0.000
! space group	P4/mmm, No. 123
! magnetic moment	4.7	μB/cell

ii:
! MoPSCl2 PBE-GGA relaxed; values from VASP
&SYSTEM
  ibrav = 0, nat = 5, ntyp = 4
/
ATOMIC_SPECIES
P 30.97 P.upf
Mo 95.94 Mo.upf
Cl 35.45 Cl.upf
S 32.06 S.upf
CELL_PARAMETERS angstrom
-0.711 0.166 -4.551
3.122 -3.336 -0.609
-3.581 -3.431 0.434
ATOMIC_POSITIONS crystal
P 0.000 0.000 0.500
Mo 0.500 0.500 0.500
Cl 0.000 0.500 0.000
Cl 0.500 0.000 0.000
S 0.000 0.000 0.000
! space group	P4/mmm, No. 123
! magnetic moment	3.9	μB/cell

iii:
! MoPSCl2 PBE-GGA relaxed; values from VASP
&SYSTEM
  ibrav = 0, nat = 5, ntyp = 4
/
ATOMIC_SPECIES
Cl 35.45 Cl.upf
P 30.97 P.upf
S 32.06 S.upf
Mo 95.94 Mo.upf
CELL_PARAMETERS angstrom
4.585 0.000 0.000
0.000 4.585 0.000
0.000 0.000 5.018
ATOMIC_POSITIONS crystal
Cl 0.000 0.500 0.000
P 0.000 0.000 0.500
S 0.500 0.500 0.500
Cl 0.500 0.000 0.000
Mo 0.000 0.000 0.000
! space group	P4/mmm, No. 123
! magnetic moment	0.0	μB/cell

So which one is most stable? That would be iii, about 289 meV/atom below the next structure.

i:
! SbMoPCl2 PBE-GGA relaxed; values from VASP
&SYSTEM
  ibrav = 0, nat = 5, ntyp = 4
/
ATOMIC_SPECIES
Cl 35.45 Cl.upf
P 30.97 P.upf
Mo 95.94 Mo.upf
Sb 121.76 Sb.upf
CELL_PARAMETERS angstrom
-0.893 2.084 -4.222
-0.126 -4.307 -2.099
-4.889 -0.291 0.891
ATOMIC_POSITIONS crystal
Cl 0.500 0.000 0.000
P 0.000 0.000 0.500
Cl 0.000 0.500 0.000
Mo 0.000 0.000 0.000
Sb 0.500 0.500 0.500
! space group	P4/mmm, No. 123
! magnetic moment	2.8	μB/cell

ii:
! SbMoPCl2 PBE-GGA relaxed; values from VASP
&SYSTEM
  ibrav = 0, nat = 5, ntyp = 4
/
ATOMIC_SPECIES
P 30.97 P.upf
Cl 35.45 Cl.upf
Mo 95.94 Mo.upf
Sb 121.76 Sb.upf
CELL_PARAMETERS angstrom
5.123 0.000 0.000
0.000 5.123 0.000
0.000 0.000 5.367
ATOMIC_POSITIONS crystal
P 0.000 0.000 0.500
Cl 0.500 0.000 0.000
Mo 0.500 0.500 0.500
Cl 0.000 0.500 0.000
Sb 0.000 0.000 0.000
! space group	P4/mmm, No. 123
! magnetic moment	4.3	μB/cell

So which one is most stable? That would be i, about 585 meV/atom below the next structure.

i:
! SbMoP2Cl PBE-GGA relaxed; values from VASP
&SYSTEM
  ibrav = 0, nat = 5, ntyp = 4
/
ATOMIC_SPECIES
Sb 121.76 Sb.upf
Cl 35.45 Cl.upf
P 30.97 P.upf
Mo 95.94 Mo.upf
CELL_PARAMETERS angstrom
4.774 0.000 0.000
0.000 4.774 0.000
0.000 0.000 4.801
ATOMIC_POSITIONS crystal
Sb 0.500 0.500 0.500
Cl 0.000 0.000 0.500
P 0.500 0.000 0.000
P 0.000 0.500 0.000
Mo 0.000 0.000 0.000
! space group	P4/mmm, No. 123
! magnetic moment	1.5	μB/cell

ii:
! SbMoP2Cl PBE-GGA relaxed; values from VASP
&SYSTEM
  ibrav = 0, nat = 5, ntyp = 4
/
ATOMIC_SPECIES
Mo 95.94 Mo.upf
P 30.97 P.upf
Sb 121.76 Sb.upf
Cl 35.45 Cl.upf
CELL_PARAMETERS angstrom
-2.678 4.155 -1.227
-4.119 -2.889 -0.793
-1.314 0.563 4.775
ATOMIC_POSITIONS crystal
Mo 0.500 0.500 0.500
P 0.000 0.500 0.000
Sb 0.000 0.000 0.000
P 0.500 0.000 0.000
Cl 0.000 0.000 0.500
! space group	P4/mmm, No. 123
! magnetic moment	3.2	μB/cell

So which one is most stable? That would be i, about 866 meV/atom below the next structure.

i:
! MoPSeCl2 PBE-GGA relaxed; values from VASP
&SYSTEM
  ibrav = 0, nat = 5, ntyp = 4
/
ATOMIC_SPECIES
Cl 35.45 Cl.upf
Mo 95.94 Mo.upf
P 30.97 P.upf
Se 78.96 Se.upf
CELL_PARAMETERS angstrom
4.841 0.000 0.000
0.000 4.841 0.000
0.000 0.000 5.137
ATOMIC_POSITIONS crystal
Cl 0.500 0.000 0.000
Mo 0.500 0.500 0.500
P 0.000 0.000 0.500
Cl 0.000 0.500 0.000
Se 0.000 0.000 0.000
! space group	P4/mmm, No. 123
! magnetic moment	4.2	μB/cell

ii:
! MoPSeCl2 PBE-GGA relaxed; values from VASP
&SYSTEM
  ibrav = 0, nat = 5, ntyp = 4
/
ATOMIC_SPECIES
Mo 95.94 Mo.upf
P 30.97 P.upf
Cl 35.45 Cl.upf
Se 78.96 Se.upf
CELL_PARAMETERS angstrom
4.601 0.000 0.000
0.000 4.601 0.000
0.000 0.000 5.075
ATOMIC_POSITIONS crystal
Mo 0.000 0.000 0.000
P 0.000 0.000 0.500
Cl 0.000 0.500 0.000
Se 0.500 0.500 0.500
Cl 0.500 0.000 0.000
! space group	P4/mmm, No. 123
! magnetic moment	0.0	μB/cell

So which one is most stable? That would be ii, about 752 meV/atom below the next structure.

i:
! SiMoP2Cl PBE-GGA relaxed; values from VASP
&SYSTEM
  ibrav = 0, nat = 5, ntyp = 4
/
ATOMIC_SPECIES
P 30.97 P.upf
Mo 95.94 Mo.upf
Cl 35.45 Cl.upf
Si 28.09 Si.upf
CELL_PARAMETERS angstrom
4.576 0.000 0.000
0.000 4.576 0.000
0.000 0.000 4.472
ATOMIC_POSITIONS crystal
P 0.500 0.000 0.000
Mo 0.500 0.500 0.500
Cl 0.000 0.000 0.500
P 0.000 0.500 0.000
Si 0.000 0.000 0.000
! space group	P4/mmm, No. 123
! magnetic moment	3.0	μB/cell

ii:
! SiMoP2Cl PBE-GGA relaxed; values from VASP
&SYSTEM
  ibrav = 0, nat = 5, ntyp = 4
/
ATOMIC_SPECIES
P 30.97 P.upf
Mo 95.94 Mo.upf
Si 28.09 Si.upf
Cl 35.45 Cl.upf
CELL_PARAMETERS angstrom
4.660 0.000 0.000
0.000 4.660 0.000
0.000 0.000 4.964
ATOMIC_POSITIONS crystal
P 0.000 0.500 0.000
P 0.500 0.000 0.000
Mo 0.000 0.000 0.000
Si 0.500 0.500 0.500
Cl 0.000 0.000 0.500
! space group	P4/mmm, No. 123
! magnetic moment	0.2	μB/cell

So which one is most stable? That would be ii, about 241 meV/atom below the next structure.

i:
! TaMoP2Cl PBE-GGA relaxed; values from VASP
&SYSTEM
  ibrav = 0, nat = 5, ntyp = 4
/
ATOMIC_SPECIES
P 30.97 P.upf
Ta 180.95 Ta.upf
Mo 95.94 Mo.upf
Cl 35.45 Cl.upf
CELL_PARAMETERS angstrom
-1.032 -2.133 4.038
-0.197 -4.115 -2.224
4.460 -0.645 0.799
ATOMIC_POSITIONS crystal
P 0.000 0.500 0.000
P 0.500 0.000 0.000
Ta 0.500 0.500 0.500
Mo 0.000 0.000 0.000
Cl 0.000 0.000 0.500
! space group	P4/mmm, No. 123
! magnetic moment	0.0	μB/cell

ii:
! TaMoP2Cl PBE-GGA relaxed; values from VASP
&SYSTEM
  ibrav = 0, nat = 5, ntyp = 4
/
ATOMIC_SPECIES
P 30.97 P.upf
Ta 180.95 Ta.upf
Mo 95.94 Mo.upf
Cl 35.45 Cl.upf
CELL_PARAMETERS angstrom
-2.197 0.877 4.256
-2.940 -3.812 -0.732
3.099 -2.809 2.178
ATOMIC_POSITIONS crystal
P 0.000 0.500 0.000
Ta 0.000 0.000 0.000
P 0.500 0.000 0.000
Mo 0.500 0.500 0.500
Cl 0.000 0.000 0.500
! space group	P4/mmm, No. 123
! magnetic moment	4.3	μB/cell

So which one is most stable? That would be ii, about 356 meV/atom below the next structure.

i:
! TaMoPCl2 PBE-GGA relaxed; values from VASP
&SYSTEM
  ibrav = 0, nat = 5, ntyp = 4
/
ATOMIC_SPECIES
Mo 95.94 Mo.upf
P 30.97 P.upf
Ta 180.95 Ta.upf
Cl 35.45 Cl.upf
CELL_PARAMETERS angstrom
-0.235 2.511 -4.037
0.476 -4.009 -2.522
-5.002 -0.559 -0.056
ATOMIC_POSITIONS crystal
Mo 0.500 0.500 0.500
P 0.000 0.000 0.500
Ta 0.000 0.000 0.000
Cl 0.500 0.000 0.000
Cl 0.000 0.500 0.000
! space group	P4/mmm, No. 123
! magnetic moment	5.0	μB/cell

ii:
! TaMoPCl2 PBE-GGA relaxed; values from VASP
&SYSTEM
  ibrav = 0, nat = 5, ntyp = 4
/
ATOMIC_SPECIES
Ta 180.95 Ta.upf
Mo 95.94 Mo.upf
Cl 35.45 Cl.upf
P 30.97 P.upf
CELL_PARAMETERS angstrom
-2.291 3.267 -2.400
-0.106 -2.804 -3.716
-4.334 -1.897 1.555
ATOMIC_POSITIONS crystal
Ta 0.500 0.500 0.500
Mo 0.000 0.000 0.000
Cl 0.000 0.500 0.000
Cl 0.500 0.000 0.000
P 0.000 0.000 0.500
! space group	P4/mmm, No. 123
! magnetic moment	4.5	μB/cell

So which one is most stable? That would be i, about 416 meV/atom below the next structure.

i:
! TcMoPCl2 PBE-GGA relaxed; values from VASP
&SYSTEM
  ibrav = 0, nat = 5, ntyp = 4
/
ATOMIC_SPECIES
Tc 98.00 Tc.upf
Cl 35.45 Cl.upf
Mo 95.94 Mo.upf
P 30.97 P.upf
CELL_PARAMETERS angstrom
-3.436 2.512 -2.255
0.073 -3.161 -3.633
-3.403 -2.649 2.237
ATOMIC_POSITIONS crystal
Tc 0.500 0.500 0.500
Cl 0.000 0.500 0.000
Mo 0.000 0.000 0.000
P 0.000 0.000 0.500
Cl 0.500 0.000 0.000
! space group	P4/mmm, No. 123
! magnetic moment	6.5	μB/cell

ii:
! TcMoPCl2 PBE-GGA relaxed; values from VASP
&SYSTEM
  ibrav = 0, nat = 5, ntyp = 4
/
ATOMIC_SPECIES
P 30.97 P.upf
Tc 98.00 Tc.upf
Cl 35.45 Cl.upf
Mo 95.94 Mo.upf
CELL_PARAMETERS angstrom
-4.457 -0.878 -1.790
0.349 -4.660 1.417
-1.858 1.103 4.085
ATOMIC_POSITIONS crystal
P 0.000 0.000 0.500
Tc 0.000 0.000 0.000
Cl 0.500 0.000 0.000
Mo 0.500 0.500 0.500
Cl 0.000 0.500 0.000
! space group	P4/mmm, No. 123
! magnetic moment	5.7	μB/cell

So which one is most stable? That would be i, about 13 meV/atom below the next structure.

i:
! TiMoP2Cl PBE-GGA relaxed; values from VASP
&SYSTEM
  ibrav = 0, nat = 5, ntyp = 4
/
ATOMIC_SPECIES
Mo 95.94 Mo.upf
Cl 35.45 Cl.upf
P 30.97 P.upf
Ti 47.87 Ti.upf
CELL_PARAMETERS angstrom
-2.897 -1.762 -3.375
1.812 -4.367 0.726
-3.189 -0.799 3.155
ATOMIC_POSITIONS crystal
Mo 0.500 0.500 0.500
Cl 0.000 0.000 0.500
P 0.500 0.000 0.000
Ti 0.000 0.000 0.000
P 0.000 0.500 0.000
! space group	P4/mmm, No. 123
! magnetic moment	3.6	μB/cell

ii:
! TiMoP2Cl PBE-GGA relaxed; values from VASP
&SYSTEM
  ibrav = 0, nat = 5, ntyp = 4
/
ATOMIC_SPECIES
Ti 47.87 Ti.upf
Cl 35.45 Cl.upf
P 30.97 P.upf
Mo 95.94 Mo.upf
CELL_PARAMETERS angstrom
4.647 0.000 0.000
0.000 4.647 0.000
0.000 0.000 4.834
ATOMIC_POSITIONS crystal
Ti 0.500 0.500 0.500
Cl 0.000 0.000 0.500
P 0.500 0.000 0.000
Mo 0.000 0.000 0.000
P 0.000 0.500 0.000
! space group	P4/mmm, No. 123
! magnetic moment	0.1	μB/cell

So which one is most stable? That would be i, about 35 meV/atom below the next structure.

i:
! TiMoPCl2 PBE-GGA relaxed; values from VASP
&SYSTEM
  ibrav = 0, nat = 5, ntyp = 4
/
ATOMIC_SPECIES
P 30.97 P.upf
Cl 35.45 Cl.upf
Mo 95.94 Mo.upf
Ti 47.87 Ti.upf
CELL_PARAMETERS angstrom
4.599 0.000 0.000
0.000 4.599 0.000
0.000 0.000 5.147
ATOMIC_POSITIONS crystal
P 0.000 0.000 0.500
Cl 0.500 0.000 0.000
Mo 0.500 0.500 0.500
Cl 0.000 0.500 0.000
Ti 0.000 0.000 0.000
! space group	P4/mmm, No. 123
! magnetic moment	4.6	μB/cell

ii:
! TiMoPCl2 PBE-GGA relaxed; values from VASP
&SYSTEM
  ibrav = 0, nat = 5, ntyp = 4
/
ATOMIC_SPECIES
Mo 95.94 Mo.upf
Cl 35.45 Cl.upf
Ti 47.87 Ti.upf
P 30.97 P.upf
CELL_PARAMETERS angstrom
-4.740 -0.135 -0.463
0.476 -0.589 -4.704
0.077 -4.792 0.608
ATOMIC_POSITIONS crystal
Mo 0.000 0.000 0.000
Cl 0.000 0.500 0.000
Ti 0.500 0.500 0.500
Cl 0.500 0.000 0.000
P 0.000 0.000 0.500
! space group	P4/mmm, No. 123
! magnetic moment	1.6	μB/cell

So which one is most stable? That would be i, about 284 meV/atom below the next structure.

i:
! VMoP2Cl PBE-GGA relaxed; values from VASP
&SYSTEM
  ibrav = 0, nat = 5, ntyp = 4
/
ATOMIC_SPECIES
Cl 35.45 Cl.upf
P 30.97 P.upf
V 50.94 V.upf
Mo 95.94 Mo.upf
CELL_PARAMETERS angstrom
4.663 0.000 0.000
0.000 4.663 0.000
0.000 0.000 4.849
ATOMIC_POSITIONS crystal
Cl 0.000 0.000 0.500
P 0.500 0.000 0.000
P 0.000 0.500 0.000
V 0.500 0.500 0.500
Mo 0.000 0.000 0.000
! space group	P4/mmm, No. 123
! magnetic moment	0.2	μB/cell

ii:
! VMoP2Cl PBE-GGA relaxed; values from VASP
&SYSTEM
  ibrav = 0, nat = 5, ntyp = 4
/
ATOMIC_SPECIES
Cl 35.45 Cl.upf
Mo 95.94 Mo.upf
P 30.97 P.upf
V 50.94 V.upf
CELL_PARAMETERS angstrom
-2.175 -3.688 -1.650
2.935 -2.730 2.232
-2.809 0.003 3.698
ATOMIC_POSITIONS crystal
Cl 0.000 0.000 0.500
Mo 0.500 0.500 0.500
P 0.000 0.500 0.000
P 0.500 0.000 0.000
V 0.000 0.000 0.000
! space group	P4/mmm, No. 123
! magnetic moment	4.5	μB/cell

So which one is most stable? That would be ii, about 205 meV/atom below the next structure.

i:
! MoPWCl2 PBE-GGA relaxed; values from VASP
&SYSTEM
  ibrav = 0, nat = 5, ntyp = 4
/
ATOMIC_SPECIES
Cl 35.45 Cl.upf
Mo 95.94 Mo.upf
P 30.97 P.upf
W 183.84 W.upf
CELL_PARAMETERS angstrom
-0.559 4.510 -1.310
-4.618 -0.288 0.978
0.880 1.440 4.581
ATOMIC_POSITIONS crystal
Cl 0.000 0.500 0.000
Cl 0.500 0.000 0.000
Mo 0.500 0.500 0.500
P 0.000 0.000 0.500
W 0.000 0.000 0.000
! space group	P4/mmm, No. 123
! magnetic moment	4.9	μB/cell

ii:
! MoPWCl2 PBE-GGA relaxed; values from VASP
&SYSTEM
  ibrav = 0, nat = 5, ntyp = 4
/
ATOMIC_SPECIES
Mo 95.94 Mo.upf
Cl 35.45 Cl.upf
P 30.97 P.upf
W 183.84 W.upf
CELL_PARAMETERS angstrom
4.670 0.000 0.000
0.000 4.670 0.000
0.000 0.000 5.027
ATOMIC_POSITIONS crystal
Mo 0.000 0.000 0.000
Cl 0.500 0.000 0.000
Cl 0.000 0.500 0.000
P 0.000 0.000 0.500
W 0.500 0.500 0.500
! space group	P4/mmm, No. 123
! magnetic moment	5.8	μB/cell

So which one is most stable? That would be i, about 249 meV/atom below the next structure.

i:
! YMoP2Cl PBE-GGA relaxed; values from VASP
&SYSTEM
  ibrav = 0, nat = 5, ntyp = 4
/
ATOMIC_SPECIES
Y 88.91 Y.upf
P 30.97 P.upf
Cl 35.45 Cl.upf
Mo 95.94 Mo.upf
CELL_PARAMETERS angstrom
5.310 0.000 0.000
0.000 5.310 0.000
0.000 0.000 5.042
ATOMIC_POSITIONS crystal
Y 0.000 0.000 0.000
P 0.000 0.500 0.000
Cl 0.000 0.000 0.500
Mo 0.500 0.500 0.500
P 0.500 0.000 0.000
! space group	P4/mmm, No. 123
! magnetic moment	3.5	μB/cell

ii:
! YMoP2Cl PBE-GGA relaxed; values from VASP
&SYSTEM
  ibrav = 0, nat = 5, ntyp = 4
/
ATOMIC_SPECIES
Y 88.91 Y.upf
P 30.97 P.upf
Cl 35.45 Cl.upf
Mo 95.94 Mo.upf
CELL_PARAMETERS angstrom
4.673 0.000 0.000
0.000 4.673 0.000
0.000 0.000 4.890
ATOMIC_POSITIONS crystal
Y 0.500 0.500 0.500
P 0.000 0.500 0.000
Cl 0.000 0.000 0.500
P 0.500 0.000 0.000
Mo 0.000 0.000 0.000
! space group	P4/mmm, No. 123
! magnetic moment	0.0	μB/cell

So which one is most stable? That would be ii, about 889 meV/atom below the next structure.

i:
! YMoPCl2 PBE-GGA relaxed; values from VASP
&SYSTEM
  ibrav = 0, nat = 5, ntyp = 4
/
ATOMIC_SPECIES
Y 88.91 Y.upf
Mo 95.94 Mo.upf
Cl 35.45 Cl.upf
P 30.97 P.upf
CELL_PARAMETERS angstrom
4.729 0.000 0.000
0.000 4.729 0.000
0.000 0.000 4.947
ATOMIC_POSITIONS crystal
Y 0.500 0.500 0.500
Mo 0.000 0.000 0.000
Cl 0.500 0.000 0.000
Cl 0.000 0.500 0.000
P 0.000 0.000 0.500
! space group	P4/mmm, No. 123
! magnetic moment	2.0	μB/cell

ii:
! YMoPCl2 PBE-GGA relaxed; values from VASP
&SYSTEM
  ibrav = 0, nat = 5, ntyp = 4
/
ATOMIC_SPECIES
Y 88.91 Y.upf
Mo 95.94 Mo.upf
Cl 35.45 Cl.upf
P 30.97 P.upf
CELL_PARAMETERS angstrom
-3.843 -3.147 0.025
1.147 -1.437 -4.614
3.303 -4.018 2.072
ATOMIC_POSITIONS crystal
Y 0.000 0.000 0.000
Mo 0.500 0.500 0.500
Cl 0.500 0.000 0.000
Cl 0.000 0.500 0.000
P 0.000 0.000 0.500
! space group	P4/mmm, No. 123
! magnetic moment	4.0	μB/cell

So which one is most stable? That would be i, about 211 meV/atom below the next structure.